(1)
Entry from the Alexandria database: a geometry-optimized TaHgPt2 structure (PBE).

Cell: 5.0504 5.0504 5.0092 Å, 81.18 81.18 33.30°
Last column: nearest neighbours and their distance in Å.
Element x y z (fractional)
Hg1 0.2498 0.2498 0.2293  7 Pt 2.77-2.92, 2 Hg 2.89, 3 Ta 3.02-3.06
Pt1 0.0031 0.0031 0.0140  3 Hg 2.77-2.90, 4 Ta 2.81-2.97, 5 Pt 2.89-3.02
Pt2 0.7529 0.7529 0.7217  3 Ta 2.78-2.81, 4 Hg 2.86-2.92, 5 Pt 2.89-3.02
Ta1 0.4941 0.4941 0.5350  7 Pt 2.78-2.97, 2 Ta 2.89, 3 Hg 3.02-3.06

Computed properties:
* E_form: -0.215 eV per atom
* space-group type: Cm, No. 8
* VASP energy: -6.274 eV per atom
* D(E_F): 1.76 states/eV/cell
* M_tot: 0.000 μB/f.u.


(2)
Entry from the Alexandria database: a geometry-optimized TbUTe4 structure (PBE).

Cell: 7.4697 7.5215 7.5292 Å, 90.00 88.61 90.00°
Last column: nearest neighbours and their distance in Å.
Element x y z (fractional)
Tb1 0.5000 0.0000 0.5000  6 Te 3.10-3.15
Tb2 0.0000 0.5000 0.5000  6 Te 3.10-3.15
U1 0.0000 0.0000 0.0000  6 Te 2.98-3.05
U2 0.5000 0.5000 0.0000  6 Te 2.98-3.05
Te1 0.8381 0.6588 0.1520  2 U 3.04-3.05, 1 Tb 3.15
Te2 0.6619 0.1588 0.8480  2 U 3.04-3.05, 1 Tb 3.15
Te3 0.3592 0.3530 0.3435  1 U 2.98, 2 Tb 3.10-3.11
Te4 0.1408 0.8530 0.6565  1 U 2.98, 2 Tb 3.10-3.11
Te5 0.1619 0.3412 0.8480  2 U 3.04-3.05, 1 Tb 3.15
Te6 0.3381 0.8412 0.1520  2 U 3.04-3.05, 1 Tb 3.15
Te7 0.6408 0.6470 0.6565  1 U 2.98, 2 Tb 3.10-3.11
Te8 0.8592 0.1470 0.3435  1 U 2.98, 2 Tb 3.10-3.11

Computed properties:
* excess energy over the best structure of this formula in the dataset: 241.4 meV/atom
* space-group type: P2_1/c, No. 14
* energy relative to the elements, uncorrected: -704 meV/atom
* VASP energy: -5.452 eV per atom
* D(E_F): 5.76 states/eV/cell
* M_tot: 1.026 μB/f.u.


(3)
Entry from the Alexandria database: a geometry-optimized Be2AuCl structure (PBE).

Cell: 5.4298 5.0486 3.2141 Å, 65.96 99.54 126.19°
Last column: nearest neighbours and their distance in Å.
Element x y z (fractional)
Be1 0.0000 0.0000 0.0000  2 Au 2.38, 2 Cl 2.38
Be2 0.5000 0.0000 0.5000  2 Cl 2.38, 2 Au 2.38
Au1 0.5000 0.5000 0.0000  4 Be 2.38
Cl1 0.0000 0.5000 0.5000  4 Be 2.38

Computed properties:
* excess energy over the best structure of this formula in the dataset: 510.5 meV/atom
* space-group type: C2/m, No. 12
* energy relative to the elements, uncorrected: 314 meV/atom
* VASP energy: -2.830 eV per atom
* D(E_F): 0.98 states/eV/cell
* M_tot: 0.000 μB/f.u.


(4)
Entry from the Alexandria database: a geometry-optimized Cu2RhBr8 structure (PBE).

Cell: 6.2297 8.3697 8.3697 Å, 64.75 72.34 72.34°
Last column: nearest neighbours and their distance in Å.
Element x y z (fractional)
Cu1 0.7298 0.8214 0.8214  4 Br 2.30-2.43
Cu2 0.2702 0.1786 0.1786  4 Br 2.30-2.43
Rh1 0.0000 0.0000 0.0000  6 Br 2.50-2.53
Br1 0.1888 0.2640 0.8834  1 Cu 2.43, 1 Rh 2.50
Br2 0.8112 0.1166 0.7360  1 Cu 2.43, 1 Rh 2.50
Br3 0.3333 0.8320 0.8320  1 Cu 2.42, 1 Rh 2.53
Br4 0.6667 0.1680 0.1680  1 Cu 2.42, 1 Rh 2.53
Br5 0.1888 0.8834 0.2640  1 Cu 2.43, 1 Rh 2.50
Br6 0.8112 0.7360 0.1166  1 Cu 2.43, 1 Rh 2.50
Br7 0.8992 0.6477 0.6477  1 Cu 2.30
Br8 0.1008 0.3523 0.3523  1 Cu 2.30

Computed properties:
* excess energy over the best structure of this formula in the dataset: 0.0 meV/atom
* space-group type: C2/m, No. 12
* energy relative to the elements, uncorrected: -219 meV/atom
* VASP energy: -2.849 eV per atom
* D(E_F): 9.89 states/eV/cell
* M_tot: 0.000 μB/f.u.


(5)
Entry from the Alexandria database: a geometry-optimized SrZn3Au structure (PBE).

Cell: 4.9724 4.9724 4.9724 Å, 90.00 90.00 90.00°
Last column: nearest neighbours and their distance in Å.
Element x y z (fractional)
Sr1 0.5000 0.5000 0.5000  12 Zn 3.52
Zn1 0.0000 0.5000 0.0000  2 Au 2.49
Zn2 0.0000 0.0000 0.5000  2 Au 2.49
Zn3 0.5000 0.0000 0.0000  2 Au 2.49
Au1 0.0000 0.0000 0.0000  6 Zn 2.49

Computed properties:
* E_form: -0.162 eV per atom
* excess energy over the best structure of this formula in the dataset: 218.6 meV/atom
* space-group type: Pm-3m, No. 221
* VASP energy: -1.918 eV per atom
* D(E_F): 2.79 states/eV/cell
* M_tot: 0.000 μB/f.u.


(6)
Entry from the Alexandria database: a geometry-optimized LaPmTmTh structure (PBE).

Cell: 3.6190 3.6190 10.2157 Å, 90.00 90.00 90.00°
Last column: nearest neighbours and their distance in Å.
Element x y z (fractional)
La1 0.0000 0.0000 0.0774  4 La 3.62, 4 Tm 3.66, 4 Pm 3.76
Pm1 0.5000 0.5000 0.8073  4 Th 3.55, 4 Pm 3.62, 4 La 3.76
Tm1 0.5000 0.5000 0.3340  4 Th 3.49, 4 Tm 3.62, 4 La 3.66
Th1 0.0000 0.0000 0.5660  4 Tm 3.49, 4 Pm 3.55, 4 Th 3.62

Computed properties:
* E_form: 0.025 eV per atom
* excess energy over the best structure of this formula in the dataset: 0.0 meV/atom
* space-group type: P4mm, No. 99
* VASP energy: -5.367 eV per atom
* D(E_F): 4.88 states/eV/cell
* M_tot: 0.000 μB/f.u.